Record 1
# TcW2I2

A geometry-optimized TcW2I2 structure (PBE-GGA, Alexandria).

Results
* symmetry: P4/mbm
* total magnetization: 0.0 μB/cell
* ΔE_f (raw): 1.461 eV/atom
* excess energy over the best structure of this formula in the dataset: 0.0000 eV/atom
* DFT total energy: -32.1 eV/f.u.

```
TcW2I2
1.0
6.750 0.000 0.000
0.000 6.750 0.000
0.000 0.000 4.578
Tc W I
2 4 4
direct
0.000 0.000 0.000
0.500 0.500 0.000
0.138 0.362 0.000
0.362 0.862 0.000
0.638 0.138 0.000
0.862 0.638 0.000
0.175 0.675 0.500
0.325 0.175 0.500
0.675 0.825 0.500
0.825 0.325 0.500
```


Record 2
# Tc2WI2

A geometry-optimized Tc2WI2 structure (PBE-GGA, Alexandria).

Results
* symmetry: P4/mbm
* total magnetization: 0.0 μB/cell
* ΔE_f (raw): 1.257 eV/atom
* excess energy over the best structure of this formula in the dataset: 0.0000 eV/atom
* DFT total energy: -30.5 eV/f.u.

```
Tc2WI2
1.0
6.774 0.000 0.000
0.000 6.774 0.000
0.000 0.000 4.401
Tc W I
4 2 4
direct
0.131 0.369 0.000
0.369 0.869 0.000
0.631 0.131 0.000
0.869 0.631 0.000
0.000 0.000 0.000
0.500 0.500 0.000
0.182 0.682 0.500
0.318 0.182 0.500
0.682 0.818 0.500
0.818 0.318 0.500
```


Record 3
# Tc2WI

A geometry-optimized Tc2WI structure (PBE-GGA, Alexandria).

Results
* symmetry: Fm-3m
* total magnetization: 0.0 μB/cell
* ΔE_f (raw): 1.031 eV/atom
* excess energy over the best structure of this formula in the dataset: 0.0000 eV/atom
* DFT total energy: -31.1 eV/f.u.

```
Tc2WI
1.0
0.000 3.231 3.231
3.231 0.000 3.231
3.231 3.231 0.000
Tc W I
2 1 1
direct
0.250 0.250 0.250
0.750 0.750 0.750
0.000 0.000 0.000
0.500 0.500 0.500
```


Record 4
# Tc2WI2

A geometry-optimized Tc2WI2 structure (PBE-GGA, Alexandria).

Results
* symmetry: I4/mmm
* total magnetization: 3.4 μB/cell
* ΔE_f (raw): 1.836 eV/atom
* excess energy over the best structure of this formula in the dataset: 0.5788 eV/atom
* DFT total energy: -27.6 eV/f.u.

```
Tc2WI2
1.0
-2.198 2.198 5.787
2.198 -2.198 5.787
2.198 2.198 -5.787
Tc W I
2 1 2
direct
0.250 0.750 0.500
0.750 0.250 0.500
0.000 0.000 0.000
0.368 0.368 0.000
0.632 0.632 0.000
```


Record 5
# TcW3I

A geometry-optimized TcW3I structure (PBE-GGA, Alexandria).

Results
* symmetry: Pm-3m
* total magnetization: 2.1 μB/cell
* ΔE_f (raw): 3.113 eV/atom
* excess energy over the best structure of this formula in the dataset: 0.9456 eV/atom
* DFT total energy: -35.2 eV/f.u.

```
TcW3I
1.0
4.810 0.000 0.000
0.000 4.810 0.000
0.000 0.000 4.810
Tc W I
1 3 1
direct
0.000 0.000 0.000
0.000 0.500 0.500
0.500 0.000 0.500
0.500 0.500 0.000
0.500 0.500 0.500
```


Record 6
# TcW2I

A geometry-optimized TcW2I structure (PBE-GGA, Alexandria).

Results
* symmetry: I-42d
* total magnetization: 0.0 μB/cell
* ΔE_f (raw): 1.393 eV/atom
* excess energy over the best structure of this formula in the dataset: 0.1997 eV/atom
* DFT total energy: -32.3 eV/f.u.

```
TcW2I
1.0
-1.898 1.898 10.278
1.898 -1.898 10.278
1.898 1.898 -10.278
Tc W I
2 4 2
direct
0.000 0.000 0.000
0.750 0.250 0.500
0.119 0.625 0.994
0.375 0.369 0.494
0.631 0.125 0.006
0.875 0.881 0.506
0.250 0.750 0.500
0.500 0.500 0.000
```


Q: What is the formula in the third record?
A: Tc2WI